## Ti3Nb (GGA-PBE)

Data for crystalline Ti3Nb at its relaxed geometry.

Results
* calculated total energy: -67.0 eV per cell
* energy of formation: 67 meV per atom
* space-group type: P6_3/mmc (194)

Cell lengths 5.8275, 5.8275, 4.7784 Å; angles 90.00, 90.00, 120.00 degrees
Atoms (fractional coordinates):
Ti: 0.3321 0.1661 0.7500
Ti: 0.8339 0.1661 0.7500
Ti: 0.1661 0.8339 0.2500
Ti: 0.6679 0.8339 0.2500
Ti: 0.1661 0.3321 0.2500
Ti: 0.8339 0.6679 0.7500
Nb: 0.6667 0.3333 0.2500
Nb: 0.3333 0.6667 0.7500

=====

## TiNb5 (GGA-PBE)

Data for crystalline TiNb5 at its relaxed geometry.

Results
* calculated total energy: -58.3 eV per cell
* energy of formation: -5 meV per atom
* space-group type: Cmmm (65)
* ΔE to the lowest computed polymorph: 0.0 kJ per mole of atoms

Cell lengths 3.3093, 4.6789, 7.3618 Å; angles 108.53, 90.00, 90.00 degrees
Atoms (fractional coordinates):
Nb: 0.5000 0.1692 0.3383
Nb: 0.5000 0.5000 0.0000
Nb: 0.0000 0.6632 0.3264
Nb: 0.0000 0.3368 0.6736
Nb: 0.5000 0.8308 0.6617
Ti: 0.0000 0.0000 0.0000

=====

## TiNb2 (GGA-PBE)

Data for crystalline TiNb2 at its relaxed geometry.

Results
* calculated total energy: -55.9 eV per cell
* energy of formation: 24 meV per atom
* space-group type: C2/m (12)
* ΔE to the lowest computed polymorph: 0.2 kJ per mole of atoms

Cell lengths 3.3433, 4.7376, 6.9609 Å; angles 86.16, 103.90, 90.00 degrees
Atoms (fractional coordinates):
Nb: 0.2455 0.7518 0.4910
Nb: 0.5787 0.7730 0.1574
Nb: 0.4213 0.2270 0.8426
Nb: 0.7545 0.2482 0.5090
Ti: 0.9148 0.7190 0.8297
Ti: 0.0852 0.2810 0.1703

=====

## TiNb5 (GGA-PBE)

Data for crystalline TiNb5 at its relaxed geometry.

Results
* calculated total energy: -58.3 eV per cell
* energy of formation: -2 meV per atom
* space-group type: Cmmm (65)
* ΔE to the lowest computed polymorph: 0.3 kJ per mole of atoms

Cell lengths 4.6768, 4.6864, 5.4569 Å; angles 115.43, 90.00, 90.00 degrees
Atoms (fractional coordinates):
Nb: 0.5000 0.8337 0.6674
Nb: 0.5000 0.1663 0.3326
Nb: 0.5000 0.5000 0.0000
Nb: 0.0000 0.6712 0.3425
Nb: 0.0000 0.3288 0.6575
Ti: 0.0000 0.0000 0.0000

=====

## Ti4Nb (GGA-PBE)

Data for crystalline Ti4Nb at its relaxed geometry.

Results
* calculated total energy: -81.7 eV per cell
* energy of formation: 158 meV per atom
* space-group type: P2/c (13)
* ΔE to the lowest computed polymorph: 0.0 kJ per mole of atoms

Cell lengths 5.7068, 5.1654, 7.1542 Å; angles 90.00, 90.00, 57.41 degrees
Atoms (fractional coordinates):
Ti: 0.7533 0.2691 0.0609
Ti: 0.2467 0.2309 0.0609
Ti: 0.7533 0.7691 0.9391
Ti: 0.8313 0.1070 0.6774
Ti: 0.2467 0.7309 0.9391
Ti: 0.1687 0.3930 0.6774
Ti: 0.1687 0.8930 0.3226
Ti: 0.8313 0.6070 0.3226
Nb: 0.5000 0.7500 0.6232
Nb: 0.5000 0.2500 0.3768

=====

## Ti3Nb2 (GGA-PBE)

Data for crystalline Ti3Nb2 at its relaxed geometry.

Results
* calculated total energy: -43.5 eV per cell
* energy of formation: 57 meV per atom
* space-group type: I4/mmm (139)
* ΔE to the lowest computed polymorph: 0.0 kJ per mole of atoms

Cell lengths 3.4514, 3.4514, 7.7278 Å; angles 102.90, 102.90, 90.00 degrees
Atoms (fractional coordinates):
Ti: 0.0000 0.0000 0.0000
Ti: 0.8018 0.8018 0.6037
Ti: 0.1982 0.1982 0.3963
Nb: 0.6029 0.6029 0.2057
Nb: 0.3971 0.3971 0.7943

=====

## Ti3Nb7 (GGA-PBE)

Data for crystalline Ti3Nb7 at its relaxed geometry.

Results
* calculated total energy: -184.1 eV per cell
* energy of formation: 211 meV per atom
* space-group type: P6_3/mmc (194)

Cell lengths 5.3882, 8.8585, 8.8603 Å; angles 119.99, 90.00, 90.00 degrees
Atoms (fractional coordinates):
Nb: 0.9158 0.2334 0.1167
Nb: 0.6658 0.0001 0.5000
Nb: 0.9157 0.6666 0.3332
Nb: 0.4158 0.1167 0.8833
Nb: 0.1658 0.5000 0.0001
Nb: 0.1658 0.5000 0.5000
Nb: 0.4158 0.1168 0.2337
Nb: 0.1658 0.9999 0.5000
Nb: 0.4157 0.3334 0.6668
Nb: 0.4158 0.7666 0.8833
Nb: 0.6658 0.5000 0.9999
Nb: 0.9158 0.8833 0.1167
Nb: 0.6658 0.5000 0.5000
Nb: 0.9158 0.8832 0.7663
Ti: 0.4158 0.7845 0.5690
Ti: 0.9158 0.5691 0.7846
Ti: 0.9158 0.2154 0.7846
Ti: 0.9158 0.2155 0.4310
Ti: 0.4158 0.7846 0.2154
Ti: 0.4158 0.4309 0.2154

=====

## TiNb2 (GGA-PBE)

Data for crystalline TiNb2 at its relaxed geometry.

Results
* calculated total energy: -54.7 eV per cell
* energy of formation: 221 meV per atom
* space-group type: Fd-3m (227)
* ΔE to the lowest computed polymorph: 19.1 kJ per mole of atoms

Cell lengths 5.4418, 5.4418, 5.4418 Å; angles 60.00, 60.00, 60.00 degrees
Each line ends with the local moment (μB).
Atoms (fractional coordinates):
Nb: 0.1250 0.6250 0.6250  0.04
Nb: 0.6250 0.1250 0.6250  0.04
Nb: 0.6250 0.6250 0.1250  0.04
Nb: 0.6250 0.6250 0.6250  0.04
Ti: 0.2500 0.2500 0.2500  0.41
Ti: 0.0000 0.0000 0.0000  0.41

=====

Question: What is the energy of formation in the seventh record?
Answer: 211 meV per atom

=====

What did the first record say?
## Ti3Nb (GGA-PBE)

Data for crystalline Ti3Nb at its relaxed geometry.

Results
* calculated total energy: -67.0 eV per cell
* energy of formation: 67 meV per atom
* space-group type: P6_3/mmc (194)

Cell lengths 5.8275, 5.8275, 4.7784 Å; angles 90.00, 90.00, 120.00 degrees
Atoms (fractional coordinates):
Ti: 0.3321 0.1661 0.7500
Ti: 0.8339 0.1661 0.7500
Ti: 0.1661 0.8339 0.2500
Ti: 0.6679 0.8339 0.2500
Ti: 0.1661 0.3321 0.2500
Ti: 0.8339 0.6679 0.7500
Nb: 0.6667 0.3333 0.2500
Nb: 0.3333 0.6667 0.7500

=====

Question: The lowest calculated total energy belongs to which entry?
Answer: Ti3Nb7